# 1
# HfPbF2 PBE optimized geometry
data_HfPbF2
_space_group_name_H-M_alt 'I -4 2 d'
_space_group_IT_number 122
_space_group_name_Hall 'I -4 2bw'
_cell_length_a 4.642
_cell_length_b 4.642
_cell_length_c 14.003
_cell_angle_alpha 90.00
_cell_angle_beta 90.00
_cell_angle_gamma 90.00
loop_
_atom_site_label
_atom_site_fract_x
_atom_site_fract_y
_atom_site_fract_z
_atom_site_occupancy
Hf1 0.000 0.000 0.000 1
Pb1 0.000 0.000 0.500 1
F1 0.038 0.250 0.125 1
# * final energy: -6.181 eV per atom
# * offset from the most stable computed form: 0.011 eV per atom
# * density: 9.32 g/cm³
# * crystal system: tetragonal
# * total magnetization: 0.00 μB per formula unit
# * DOS at the Fermi energy: 0.261 states/eV per atom
# * formation energy (no corrections): -1.83 eV/atom

# 2
# HfPbF3 PBE optimized geometry
data_HfPbF3
_space_group_name_H-M_alt 'P m -3 m'
_space_group_IT_number 221
_space_group_name_Hall '-P 4 2 3'
_cell_length_a 4.797
_cell_length_b 4.797
_cell_length_c 4.797
_cell_angle_alpha 90.00
_cell_angle_beta 90.00
_cell_angle_gamma 90.00
loop_
_atom_site_label
_atom_site_fract_x
_atom_site_fract_y
_atom_site_fract_z
_atom_site_occupancy
Hf1 0.000 0.000 0.000 1
Pb1 0.500 0.500 0.500 1
F1 0.000 0.500 0.500 1
# * final energy: -4.807 eV per atom
# * offset from the most stable computed form: 1.061 eV per atom
# * density: 6.66 g/cm³
# * crystal system: cubic
# * total magnetization: 2.18 μB per formula unit
# * DOS at the Fermi energy: 0.721 states/eV per atom
# * formation energy (no corrections): -0.95 eV/atom

# 3
# HfPbF3 PBE optimized geometry
data_HfPbF3
_space_group_name_H-M_alt 'P m -3 m'
_space_group_IT_number 221
_space_group_name_Hall '-P 4 2 3'
_cell_length_a 4.380
_cell_length_b 4.380
_cell_length_c 4.380
_cell_angle_alpha 90.00
_cell_angle_beta 90.00
_cell_angle_gamma 90.00
loop_
_atom_site_label
_atom_site_fract_x
_atom_site_fract_y
_atom_site_fract_z
_atom_site_occupancy
Hf1 0.000 0.000 0.000 1
Pb1 0.500 0.500 0.500 1
F1 0.000 0.000 0.500 1
# * final energy: -5.868 eV per atom
# * offset from the most stable computed form: 0.000 eV per atom
# * density: 8.75 g/cm³
# * crystal system: cubic
# * total magnetization: 1.27 μB per formula unit
# * DOS at the Fermi energy: 1.187 states/eV per atom
# * formation energy (no corrections): -2.01 eV/atom

# 4
# Hf3PbF PBE optimized geometry
data_Hf3PbF
_space_group_name_H-M_alt 'P m -3 m'
_space_group_IT_number 221
_space_group_name_Hall '-P 4 2 3'
_cell_length_a 5.440
_cell_length_b 5.440
_cell_length_c 5.440
_cell_angle_alpha 90.00
_cell_angle_beta 90.00
_cell_angle_gamma 90.00
loop_
_atom_site_label
_atom_site_fract_x
_atom_site_fract_y
_atom_site_fract_z
_atom_site_occupancy
Hf1 0.000 0.000 0.500 1
Pb1 0.000 0.000 0.000 1
F1 0.500 0.500 0.500 1
# * final energy: -5.652 eV per atom
# * offset from the most stable computed form: 1.755 eV per atom
# * density: 7.85 g/cm³
# * crystal system: cubic
# * total magnetization: 4.70 μB per formula unit
# * DOS at the Fermi energy: 1.304 states/eV per atom
# * formation energy (no corrections): 1.44 eV/atom

# 5
# HfPbF PBE optimized geometry
data_HfPbF
_space_group_name_H-M_alt 'A m m 2'
_space_group_IT_number 38
_cell_length_a 15.465
_cell_length_b 3.217
_cell_length_c 5.572
_cell_angle_alpha 90.00
_cell_angle_beta 90.00
_cell_angle_gamma 90.00
loop_
_space_group_symop_operation_xyz
'x,y,z'
'-x,-y,z'
'-x,y,z'
'x,-y,z'
'x,y+1/2,z+1/2'
'-x,-y+1/2,z+1/2'
'-x,y+1/2,z+1/2'
'x,-y+1/2,z+1/2'
loop_
_atom_site_label
_atom_site_fract_x
_atom_site_fract_y
_atom_site_fract_z
_atom_site_occupancy
Hf1 0.161 0.000 0.000 1
Pb1 0.000 0.000 0.666 1
Pb2 0.500 0.000 0.904 1
F1 0.250 0.000 0.667 1
# * final energy: -6.413 eV per atom
# * density: 9.70 g/cm³
# * crystal system: orthorhombic
# * total magnetization: 0.00 μB per formula unit
# * DOS at the Fermi energy: 0.301 states/eV per atom
# * formation energy (no corrections): -1.24 eV/atom

# 6
# HfPbF2 PBE optimized geometry
data_HfPbF2
_space_group_name_H-M_alt 'F m -3 m'
_space_group_IT_number 225
_space_group_name_Hall '-F 4 2 3'
_cell_length_a 6.434
_cell_length_b 6.434
_cell_length_c 6.434
_cell_angle_alpha 90.00
_cell_angle_beta 90.00
_cell_angle_gamma 90.00
loop_
_atom_site_label
_atom_site_fract_x
_atom_site_fract_y
_atom_site_fract_z
_atom_site_occupancy
Hf1 0.000 0.000 0.000 1
Pb1 0.000 0.000 0.500 1
F1 0.250 0.250 0.250 1
# * final energy: -5.327 eV per atom
# * offset from the most stable computed form: 0.865 eV per atom
# * density: 10.56 g/cm³
# * crystal system: cubic
# * total magnetization: 0.00 μB per formula unit
# * DOS at the Fermi energy: 1.015 states/eV per atom
# * formation energy (no corrections): -0.98 eV/atom

# 7
# Hf2PbF11 PBE optimized geometry
data_Hf2PbF11
_space_group_name_H-M_alt 'I b a m'
_space_group_IT_number 72
_space_group_name_Hall '-I 2 2c'
_cell_length_a 7.776
_cell_length_b 10.017
_cell_length_c 10.908
_cell_angle_alpha 90.00
_cell_angle_beta 90.00
_cell_angle_gamma 90.00
loop_
_atom_site_label
_atom_site_fract_x
_atom_site_fract_y
_atom_site_fract_z
_atom_site_occupancy
Hf1 0.135 0.181 0.000 1
Pb1 0.000 0.500 0.250 1
F1 0.000 0.000 0.000 1
F2 0.104 0.314 0.139 1
F3 0.129 0.221 0.500 1
F4 0.238 0.426 0.369 1
# * final energy: -6.435 eV per atom
# * density: 6.04 g/cm³
# * crystal system: orthorhombic
# * total magnetization: 0.00 μB per formula unit
# * DOS at the Fermi energy: 0.356 states/eV per atom
# * formation energy (no corrections): -3.28 eV/atom

# 8
# HfPbF2 PBE optimized geometry
data_HfPbF2
_space_group_name_H-M_alt 'R -3 m'
_space_group_IT_number 166
_space_group_name_Hall '-R 3 2"'
_cell_length_a 3.3063
_cell_length_b 3.3063
_cell_length_c 27.4978
_cell_angle_alpha 90.00
_cell_angle_beta 90.00
_cell_angle_gamma 120.00
loop_
_atom_site_label
_atom_site_fract_x
_atom_site_fract_y
_atom_site_fract_z
_atom_site_occupancy
Hf1 0.0000 0.0000 0.0000 1
Pb1 0.0000 0.0000 0.5000 1
F1 0.0000 0.0000 0.0713 1
# * final energy: -6.191 eV per atom
# * offset from the most stable computed form: 0.000 eV per atom
# * density: 8.11 g/cm³
# * crystal system: trigonal
# * total magnetization: 0.00 μB per formula unit
# * DOS at the Fermi energy: 0.555 states/eV per atom
# * formation energy (no corrections): -1.84 eV/atom

# 9
# Hf3PbF PBE optimized geometry
data_Hf3PbF
_space_group_name_H-M_alt 'P m -3 m'
_space_group_IT_number 221
_space_group_name_Hall '-P 4 2 3'
_cell_length_a 4.603
_cell_length_b 4.603
_cell_length_c 4.603
_cell_angle_alpha 90.00
_cell_angle_beta 90.00
_cell_angle_gamma 90.00
loop_
_atom_site_label
_atom_site_fract_x
_atom_site_fract_y
_atom_site_fract_z
_atom_site_occupancy
Hf1 0.000 0.000 0.500 1
Pb1 0.500 0.500 0.500 1
F1 0.000 0.000 0.000 1
# * final energy: -7.407 eV per atom
# * offset from the most stable computed form: 0.000 eV per atom
# * density: 12.97 g/cm³
# * crystal system: cubic
# * total magnetization: 0.75 μB per formula unit
# * DOS at the Fermi energy: 1.475 states/eV per atom
# * formation energy (no corrections): -0.32 eV/atom

# 10
# HfPt2PbF PBE optimized geometry
data_HfPt2PbF
_space_group_name_H-M_alt 'P 4/m m m'
_space_group_IT_number 123
_space_group_name_Hall '-P 4 2'
_cell_length_a 5.112
_cell_length_b 5.112
_cell_length_c 4.236
_cell_angle_alpha 90.00
_cell_angle_beta 90.00
_cell_angle_gamma 90.00
loop_
_atom_site_label
_atom_site_fract_x
_atom_site_fract_y
_atom_site_fract_z
_atom_site_occupancy
Hf1 0.000 0.000 0.000 1
Pt1 0.000 0.500 0.500 1
Pb1 0.500 0.500 0.500 1
F1 0.500 0.500 0.000 1
# * final energy: -5.513 eV per atom
# * density: 11.92 g/cm³
# * crystal system: tetragonal
# * total magnetization: 0.00 μB per formula unit
# * DOS at the Fermi energy: 0.644 states/eV per atom
# * formation energy (no corrections): 0.01 eV/atom

# 11
# HfRePb2F PBE optimized geometry
data_HfRePb2F
_space_group_name_H-M_alt 'P 4/m m m'
_space_group_IT_number 123
_space_group_name_Hall '-P 4 2'
_cell_length_a 5.298
_cell_length_b 5.298
_cell_length_c 5.017
_cell_angle_alpha 90.00
_cell_angle_beta 90.00
_cell_angle_gamma 90.00
loop_
_atom_site_label
_atom_site_fract_x
_atom_site_fract_y
_atom_site_fract_z
_atom_site_occupancy
Hf1 0.000 0.000 0.000 1
Re1 0.000 0.000 0.500 1
Pb1 0.000 0.500 0.500 1
F1 0.500 0.500 0.000 1
# * final energy: -6.216 eV per atom
# * density: 9.41 g/cm³
# * crystal system: tetragonal
# * total magnetization: 0.00 μB per formula unit
# * DOS at the Fermi energy: 0.292 states/eV per atom
# * formation energy (no corrections): 0.12 eV/atom

# 12
# HfRuPb2F PBE optimized geometry
data_HfRuPb2F
_space_group_name_H-M_alt 'P 4/m m m'
_space_group_IT_number 123
_space_group_name_Hall '-P 4 2'
_cell_length_a 5.046
_cell_length_b 5.046
_cell_length_c 4.145
_cell_angle_alpha 90.00
_cell_angle_beta 90.00
_cell_angle_gamma 90.00
loop_
_atom_site_label
_atom_site_fract_x
_atom_site_fract_y
_atom_site_fract_z
_atom_site_occupancy
Hf1 0.000 0.000 0.000 1
Ru1 0.500 0.500 0.000 1
Pb1 0.000 0.500 0.500 1
F1 0.000 0.000 0.500 1
# * final energy: -5.605 eV per atom
# * offset from the most stable computed form: 0.010 eV per atom
# * density: 11.22 g/cm³
# * crystal system: tetragonal
# * total magnetization: 0.00 μB per formula unit
# * DOS at the Fermi energy: 1.311 states/eV per atom
# * formation energy (no corrections): 0.10 eV/atom

# 13
# HfRuPb2F PBE optimized geometry
data_HfRuPb2F
_space_group_name_H-M_alt 'P 4/m m m'
_space_group_IT_number 123
_space_group_name_Hall '-P 4 2'
_cell_length_a 5.702
_cell_length_b 5.702
_cell_length_c 3.960
_cell_angle_alpha 90.00
_cell_angle_beta 90.00
_cell_angle_gamma 90.00
loop_
_atom_site_label
_atom_site_fract_x
_atom_site_fract_y
_atom_site_fract_z
_atom_site_occupancy
Hf1 0.000 0.000 0.000 1
Ru1 0.500 0.500 0.500 1
Pb1 0.000 0.500 0.000 1
F1 0.000 0.000 0.500 1
# * final energy: -5.615 eV per atom
# * offset from the most stable computed form: 0.000 eV per atom
# * density: 9.20 g/cm³
# * crystal system: tetragonal
# * total magnetization: 2.18 μB per formula unit
# * DOS at the Fermi energy: 1.401 states/eV per atom
# * formation energy (no corrections): 0.09 eV/atom